1.
Entry from the Alexandria database: crystalline Sr4LaCl11 at its relaxed geometry (PBE).

a b c (Å): 4.9302 4.9302 36.1076
angles (deg): 90.00 90.00 90.00
Space group I4/mmm (No. 139)
Inequivalent atoms, fractional coordinates:
Sr: 0.0000 0.0000 0.1025 [4 per cell]
Sr: 0.0000 0.0000 0.2991 [4 per cell]
La: 0.0000 0.0000 0.5000 [2 per cell]
Cl: 0.0000 0.0000 0.0000 [2 per cell]
Cl: 0.0000 0.5000 0.0549 [8 per cell]
Cl: 0.0000 0.5000 0.1518 [8 per cell]
Cl: 0.0000 0.5000 0.2500 [4 per cell]

The value obtained for the total magnetization is 0.00 μB per formula unit. Its final energy is -139.58 eV per cell.

=====

2.
Entry from the Alexandria database: crystalline SrLaCl4 at its relaxed geometry (PBE).

a b c (Å): 7.7864 6.9045 6.7511
angles (deg): 90.00 92.98 90.00
Space group P2_1/c (No. 14)
Inequivalent atoms, fractional coordinates:
Sr: 0.0000 0.0000 0.0000 [2 per cell]
La: 0.5000 0.0000 0.5000 [2 per cell]
Cl: 0.1571 0.1398 0.3710 [4 per cell]
Cl: 0.3241 0.6492 0.3475 [4 per cell]

Its excess energy over the best structure of this formula in the dataset is 0.0 meV per atom. The value obtained for the total magnetization is 1.09 μB per formula unit. Its final energy is -53.94 eV per cell.